The following is a DFT calculation (PBE-GGA) of crystalline Cs2DyRe2N6 at its relaxed geometry.

The structure in CIF format:
```
data_Cs2DyRe2N6
_space_group_name_H-M_alt 'R -3 m'
_space_group_IT_number 166
_space_group_name_Hall '-R 3 2"'
_cell_length_a 6.4628
_cell_length_b 6.4628
_cell_length_c 18.9960
_cell_angle_alpha 90.00
_cell_angle_beta 90.00
_cell_angle_gamma 120.00
loop_
_atom_site_label
_atom_site_type_symbol
_atom_site_fract_x
_atom_site_fract_y
_atom_site_fract_z
Cs1 Cs 0.0000 0.0000 0.2228
Dy1 Dy 0.0000 0.0000 0.0000
Re1 Re 0.0000 0.0000 0.4279
N1 N 0.0238 0.5119 0.2630
```

Summary:
formation energy (no corrections) = -0.351 eV per atom